No. 1
A plane-wave DFT calculation with PBE was carried out for a geometry-optimized CuOsN2 structure.

a b c (Å): 2.9140 2.9140 12.2857
angles (deg): 90.00 90.00 119.95
Element x y z (fractional)
Cu (0.0000, 0.0000, 0.5000)
Cu (0.0000, 0.0000, 0.0000)
Os (0.6669, 0.3331, 0.2500)
Os (0.3331, 0.6669, 0.7500)
N (0.9996, 0.0004, 0.6531)
N (0.0004, 0.9996, 0.3469)
N (0.9996, 0.0004, 0.8469)
N (0.0004, 0.9996, 0.1531)

Properties
* DOS at the Fermi energy: 0.2269 states/eV per atom
* distance to the lowest polymorph of the same formula: 0.0000 eV/atom
* crystal system: hexagonal
* space group: No. 194
* E: -7.509 eV/atom
* formation energy without anion corrections: 0.4848 eV per atom

No. 2
A plane-wave DFT calculation with PBE was carried out for a geometry-optimized CuIrSe2 structure.

a b c (Å): 4.5591 4.5588 3.0830
angles (deg): 90.00 90.00 90.00
Element x y z (fractional)
Cu (0.5000, 0.0000, 0.5000)
Ir (0.0000, 0.5000, 0.5000)
Se (0.0000, 0.0000, 0.0000)
Se (0.5000, 0.5000, 0.0000)

Properties
* DOS at the Fermi energy: 0.7358 states/eV per atom
* crystal system: tetragonal
* space group: No. 123
* E: -4.600 eV/atom
* formation energy without anion corrections: 0.3814 eV per atom

Question: DOS at the Fermi energy of number 2 (CuIrSe2)?
Answer: 0.7358 states/eV per atom

Question: Which of these has the lowest DOS at the Fermi energy?
Answer: CuOsN2

Repeat the second record exactly.
A plane-wave DFT calculation with PBE was carried out for a geometry-optimized CuIrSe2 structure.

a b c (Å): 4.5591 4.5588 3.0830
angles (deg): 90.00 90.00 90.00
Element x y z (fractional)
Cu (0.5000, 0.0000, 0.5000)
Ir (0.0000, 0.5000, 0.5000)
Se (0.0000, 0.0000, 0.0000)
Se (0.5000, 0.5000, 0.0000)

Properties
* DOS at the Fermi energy: 0.7358 states/eV per atom
* crystal system: tetragonal
* space group: No. 123
* E: -4.600 eV/atom
* formation energy without anion corrections: 0.3814 eV per atom

Question: Which of these has the highest DOS at the Fermi energy?
Answer: CuIrSe2